[1]
SbIrSe2Br: optimized geometry, PBE-GGA.

Cell: 4.951 4.951 4.966 Å, 90.00 90.00 90.00°
Fractional coordinates of all 5 atoms:
Se (0.000, 0.500, 0.000)
Se (0.500, 0.000, 0.000)
Br (0.000, 0.000, 0.500)
Ir (0.000, 0.000, 0.000)
Sb (0.500, 0.500, 0.500)

Computed properties:
Offset from the most stable computed form, meV/atom: 0
Uncorrected formation energy, eV/f.u.: 1.88

=====

[2]
Ti2ZnNi6: optimized geometry, PBE-GGA.

Cell: 5.403 4.935 4.935 Å, 120.00 90.00 90.00°
Fractional coordinates of all 9 atoms:
Ti (0.654, 0.333, 0.667)
Ti (0.346, 0.667, 0.333)
Ni (0.173, 0.176, 0.824)
Ni (0.173, 0.649, 0.824)
Ni (0.827, 0.824, 0.649)
Ni (0.827, 0.824, 0.176)
Ni (0.173, 0.176, 0.351)
Ni (0.827, 0.351, 0.176)
Zn (0.500, 0.000, 0.000)

Computed properties:
Energy of formation, eV/atom: -0.21
Offset from the most stable computed form, meV/atom: 0